[1]
The following is a PBE calculation of a relaxed structure of ReTc2Cl, from Alexandria.

formation energy without anion corrections: 0.354 eV/atom
energy: -8.40 eV per atom
calculated volume: 59.5 Å³ per cell
space-group type: P4/mmm

Cell and atoms, written as POSCAR:
```
ReTc2Cl
1.0
2.8815 0.0000 0.0000
0.0000 2.8815 0.0000
0.0000 0.0000 7.1662
Tc Cl Re
2 1 1
direct
0.0000 0.0000 0.9956
0.0000 0.0000 0.5044
0.5000 0.5000 0.2500
0.5000 0.5000 0.7500
```

---

[2]
The following is a PBE calculation of a relaxed structure of ReTc2Cl, from Alexandria.

formation energy without anion corrections: 0.495 eV/atom
energy: -8.26 eV per atom
calculated volume: 75.6 Å³ per cell
space-group type: C2/m

Cell and atoms, written as POSCAR:
```
ReTc2Cl
1.0
-3.0802 2.6238 0.5626
-2.1612 1.5818 3.0847
1.7542 7.3685 2.4051
Tc Re Cl
2 1 1
direct
0.0766 0.0766 0.0628
0.4234 0.4234 0.4372
0.2500 0.2500 0.2500
0.7500 0.7500 0.7500
```

---

[3]
The following is a PBE calculation of a relaxed structure of ReTc2Cl, from Alexandria.

formation energy without anion corrections: 0.595 eV/atom
energy: -8.16 eV per atom
calculated volume: 58.5 Å³ per cell
space-group type: P2/m

Cell and atoms, written as POSCAR:
```
ReTc2Cl
1.0
3.9896 0.0000 0.0000
0.0000 2.8700 0.0061
0.0000 1.5014 5.1162
Tc Re Cl
2 1 1
direct
0.0000 0.3738 0.4941
0.0000 0.1262 0.0059
0.5000 0.7500 0.7500
0.5000 0.2500 0.2500
```